# 1
Compound: As2RuPb
Source: Alexandria via LeMat-Bulk
Functional: PBE
Structure: relaxed

Cell: 3.978 3.865 5.822 Å, 90.00 98.32 90.00°
Space group Pm (No. 6)
Symmetry-distinct sites (fractional):
As1 0.000 0.000 0.000 (multiplicity 1)
As2 0.466 0.500 0.003 (multiplicity 1)
Ru1 0.011 0.500 0.271 (multiplicity 1)
Pb1 0.564 0.000 0.490 (multiplicity 1)

Total moment = 0.000 μB/atom
Formation energy = 145 meV/atom
Volume = 88.6 Å³/cell

=====

# 2
Compound: Ba2AgMoBr
Source: Alexandria via LeMat-Bulk
Functional: PBE
Structure: relaxed

Cell: 6.453 6.453 5.176 Å, 90.00 90.00 90.00°
Space group P4/mmm (No. 123)
Symmetry-distinct sites (fractional):
Ba1 0.000 0.500 0.000 (multiplicity 2)
Ag1 0.000 0.000 0.000 (multiplicity 1)
Mo1 0.000 0.000 0.500 (multiplicity 1)
Br1 0.500 0.500 0.500 (multiplicity 1)

Total moment = 0.787 μB/atom
Volume = 215.5 Å³/cell
Formation energy (no corrections) = 0.267 eV/atom

=====

# 3
Compound: AcTb4Er6
Source: Alexandria via LeMat-Bulk
Functional: PBE
Structure: relaxed

Cell: 7.895 7.895 12.563 Å, 90.00 90.00 90.00°
Space group I-42m (No. 121)
Symmetry-distinct sites (fractional):
Ac1 0.000 0.000 0.000 (multiplicity 2)
Tb1 0.164 0.164 0.428 (multiplicity 8)
Er1 0.000 0.500 0.000 (multiplicity 4)
Er2 0.229 0.229 0.691 (multiplicity 8)

Total moment = 0.000 μB/atom
E above lowest polymorph = 303 meV/atom
Formation energy = 440 meV/atom
Volume = 783.1 Å³/cell

=====

# 4
Compound: Li2TbCo9
Source: Alexandria via LeMat-Bulk
Functional: PBE
Structure: relaxed

Cell: 8.024 8.024 4.786 Å, 90.00 90.00 90.00°
Space group P4/mbm (No. 127)
Symmetry-distinct sites (fractional):
Li1 0.115 0.385 0.000 (multiplicity 4)
Tb1 0.000 0.000 0.000 (multiplicity 2)
Co1 0.000 0.500 0.500 (multiplicity 2)
Co2 0.068 0.212 0.500 (multiplicity 8)
Co3 0.180 0.680 0.237 (multiplicity 8)

Total moment = 1.077 μB/atom
Formation energy = -6 meV/atom
Volume = 308.2 Å³/cell

=====

# 5
Compound: Zn2CuSb
Source: Alexandria via LeMat-Bulk
Functional: PBE
Structure: relaxed

Cell: 3.840 3.911 5.159 Å, 90.00 111.10 90.00°
Space group Pm (No. 6)
Symmetry-distinct sites (fractional):
Zn1 0.000 0.000 0.000 (multiplicity 1)
Zn2 0.443 0.500 0.885 (multiplicity 1)
Cu1 0.166 0.500 0.333 (multiplicity 1)
Sb1 0.716 0.000 0.443 (multiplicity 1)

Total moment = 0.000 μB/atom
Volume = 72.3 Å³/cell
Formation energy (no corrections) = 0.114 eV/atom

=====

# 6
Compound: LiLaIn2Ag4
Source: Alexandria via LeMat-Bulk
Functional: PBE
Structure: relaxed

Cell: 4.8042 4.8042 25.8041 Å, 90.00 90.00 120.00°
Space group R-3m (No. 166, hexagonal axes)
Symmetry-distinct sites (fractional):
Li1 0.0000 0.0000 0.0000 (multiplicity 3)
La1 0.0000 0.0000 0.5000 (multiplicity 3)
In1 0.0000 0.0000 0.2534 (multiplicity 6)
Ag1 0.0000 0.0000 0.1023 (multiplicity 6)
Ag2 0.0000 0.0000 0.3671 (multiplicity 6)

Total moment = 0.000 μB/atom
Formation energy = -253 meV/atom
Volume = 515.8 Å³/cell

=====

# 7
Compound: Mn2GaBSe
Source: Alexandria via LeMat-Bulk
Functional: PBE
Structure: relaxed

Cell: 7.320 3.103 6.884 Å, 90.00 106.92 90.00°
Space group Cm (No. 8)
Symmetry-distinct sites (fractional):
Mn1 0.000 0.000 0.000 (multiplicity 2)
Mn2 0.161 0.500 0.786 (multiplicity 2)
Ga1 0.407 0.500 0.575 (multiplicity 2)
B1 0.355 0.000 0.788 (multiplicity 2)
Se1 0.253 0.500 0.180 (multiplicity 2)

Total moment = 0.832 μB/atom
E above lowest polymorph = 133 meV/atom
Volume = 149.6 Å³/cell
Formation energy (no corrections) = -0.003 eV/atom

=====

# 8
Compound: LiPuFeIr
Source: Alexandria via LeMat-Bulk
Functional: PBE
Structure: relaxed

Cell: 6.378 6.378 6.378 Å, 90.00 90.00 90.00°
Space group F-43m (No. 216)
Symmetry-distinct sites (fractional):
Li1 0.000 0.000 0.000 (multiplicity 4)
Pu1 0.000 0.000 0.500 (multiplicity 4)
Fe1 0.250 0.250 0.250 (multiplicity 4)
Ir1 0.250 0.250 0.750 (multiplicity 4)

Total moment = 0.553 μB/atom
Formation energy = -110 meV/atom
Volume = 259.5 Å³/cell

=====

# 9
Compound: Ba3NpO8
Source: Alexandria via LeMat-Bulk
Functional: PBE
Structure: relaxed

Cell: 5.983 5.983 11.809 Å, 90.00 90.00 90.00°
Space group I4/mmm (No. 139)
Symmetry-distinct sites (fractional):
Ba1 0.000 0.000 0.000 (multiplicity 2)
Ba2 0.000 0.500 0.250 (multiplicity 4)
Np1 0.000 0.000 0.500 (multiplicity 2)
O1 0.208 0.208 0.394 (multiplicity 16)

Total moment = 0.251 μB/atom
Volume = 422.8 Å³/cell
Formation energy (no corrections) = -2.157 eV/atom

=====

# 10
Compound: GdErPtPb
Source: Alexandria via LeMat-Bulk
Functional: PBE
Structure: relaxed

Cell: 7.338 7.338 7.338 Å, 90.00 90.00 90.00°
Space group F-43m (No. 216)
Symmetry-distinct sites (fractional):
Gd1 0.000 0.000 0.000 (multiplicity 4)
Er1 0.000 0.000 0.500 (multiplicity 4)
Pt1 0.250 0.250 0.250 (multiplicity 4)
Pb1 0.250 0.250 0.750 (multiplicity 4)

Total moment = 1.782 μB/atom
Formation energy = -737 meV/atom
Volume = 395.1 Å³/cell

=====

# 11
Compound: Pr2PPt6
Source: Alexandria via LeMat-Bulk
Functional: PBE
Structure: relaxed

Cell: 9.901 5.737 6.116 Å, 90.00 103.80 90.00°
Space group C2/m (No. 12)
Symmetry-distinct sites (fractional):
Pr1 0.139 0.000 0.347 (multiplicity 4)
P1 0.000 0.500 0.500 (multiplicity 2)
Pt1 0.121 0.500 0.205 (multiplicity 4)
Pt2 0.136 0.248 0.808 (multiplicity 8)

Total moment = 0.000 μB/atom
Formation energy = -900 meV/atom
Volume = 337.4 Å³/cell

=====

# 12
Compound: K2Na2S
Source: Alexandria via LeMat-Bulk
Functional: PBE
Structure: relaxed

Cell: 8.009 8.009 6.698 Å, 90.00 90.00 90.00°
Space group P4/mbm (No. 127)
Symmetry-distinct sites (fractional):
K1 0.167 0.333 0.000 (multiplicity 4)
Na1 0.164 0.664 0.500 (multiplicity 4)
S1 0.000 0.000 0.000 (multiplicity 2)

Total moment = 0.000 μB/atom
E above lowest polymorph = 49 meV/atom
Volume = 429.6 Å³/cell
Formation energy (no corrections) = -0.322 eV/atom